[1]
CuAs2Pb | GGA-PBE | relaxed

a b c (Å): 6.9977 6.9977 6.9977
angles (deg): 32.09 32.09 32.09
Positions (direct):
Cu1 0.0000 0.0000 0.0000
As1 0.2757 0.2757 0.2757
As2 0.7243 0.7243 0.7243
Pb1 0.5000 0.5000 0.5000

Computed properties:
* calculated volume: 21.48 A^3/atom
* DFT formation energy: 95 meV/atom
* crystal system: trigonal
* magnetic moment: 0.0 Bohr magnetons per cell
* SG: No. 166


[2]
Cu3As3Pb | GGA-PBE | relaxed

a b c (Å): 6.6956 6.6956 6.6956
angles (deg): 90.00 90.00 90.00
Positions (direct):
Cu1 0.0000 0.2500 0.5000
Cu2 0.0000 0.7500 0.5000
Cu3 0.2500 0.5000 0.0000
Cu4 0.5000 0.0000 0.2500
Cu5 0.5000 0.0000 0.7500
Cu6 0.7500 0.5000 0.0000
As1 0.0000 0.5000 0.2500
As2 0.0000 0.5000 0.7500
As3 0.2500 0.0000 0.5000
As4 0.5000 0.2500 0.0000
As5 0.5000 0.7500 0.0000
As6 0.7500 0.0000 0.5000
Pb1 0.0000 0.0000 0.0000
Pb2 0.5000 0.5000 0.5000

Computed properties:
* calculated volume: 21.44 A^3/atom
* DFT formation energy: 227 meV/atom
* crystal system: cubic
* magnetic moment: 0.0 Bohr magnetons per cell
* SG: No. 223


[3]
Cu2AsPb | GGA-PBE | relaxed

a b c (Å): 4.0934 4.0329 5.0395
angles (deg): 90.00 90.20 90.00
Positions (direct):
Cu1 0.0068 0.0000 0.2430
Cu2 0.9932 0.0000 0.7570
As1 0.0000 0.5000 0.5000
Pb1 0.5000 0.5000 0.0000

Computed properties:
* calculated volume: 20.80 A^3/atom
* DFT formation energy: 173 meV/atom
* crystal system: monoclinic
* magnetic moment: 0.0 Bohr magnetons per cell
* SG: No. 10